# FeTcMo2

An optimized crystal structure of FeTcMo2 (PBE, the Alexandria database).

```
FeTcMo2
1.0
-0.679 1.549 2.181
-2.899 -2.353 0.769
3.301 -3.028 3.177
Fe Mo Tc
1 2 1
Direct
0.500 0.500 0.750
0.000 0.000 0.506
0.000 0.000 0.994
0.500 0.500 0.250
```

Calculated values
For the excess energy over the best structure of this formula in the dataset, the calculation gives 101 meV/atom. The value obtained for the total magnetization is 1.2 μB per formula unit. Its formation energy is 0.8 eV per formula unit. As for the volume: 14.44 Å³ per atom. Its total energy is -9.919 eV per atom. The density of states at the Fermi level comes out at 1.06 states/eV/atom.